# 1
A plane-wave DFT calculation with GGA-PBE was carried out for crystalline CdTeIO2 at its relaxed geometry.

Output
VASP energy	-17.06	eV/f.u.
total moment	0.00	μB per formula unit
energy relative to the elements, uncorrected	-308	meV per atom
Fermi-level density of states	1.714	states/eV/cell

```
data_CdTeIO2
_chemical_formula_sum 'Cd1 Te1 I1 O2'
_cell_length_a 4.176
_cell_length_b 4.176
_cell_length_c 7.468
_cell_angle_alpha 90.00
_cell_angle_beta 90.00
_cell_angle_gamma 90.00
_space_group_name_H-M_alt 'P 4/m m m'
_space_group_IT_number 123
_space_group_name_Hall '-P 4 2'
loop_
_atom_site_label
_atom_site_type_symbol
_atom_site_fract_x
_atom_site_fract_y
_atom_site_fract_z
Cd1 Cd 0.000 0.000 0.000
Te1 Te 0.500 0.500 0.500
I1 I 0.500 0.500 0.000
O1 O 0.000 0.500 0.500
```

# 2
A plane-wave DFT calculation with GGA-PBE was carried out for crystalline CdTeI2O at its relaxed geometry.

Output
VASP energy	-11.34	eV/f.u.
total moment	0.00	μB per formula unit
energy relative to the elements, uncorrected	154	meV per atom
Fermi-level density of states	8.192	states/eV/cell

```
data_CdTeI2O
_chemical_formula_sum 'Cd1 Te1 I2 O1'
_cell_length_a 6.027
_cell_length_b 6.027
_cell_length_c 4.034
_cell_angle_alpha 90.00
_cell_angle_beta 90.00
_cell_angle_gamma 90.00
_space_group_name_H-M_alt 'P 4/m m m'
_space_group_IT_number 123
_space_group_name_Hall '-P 4 2'
loop_
_atom_site_label
_atom_site_type_symbol
_atom_site_fract_x
_atom_site_fract_y
_atom_site_fract_z
Cd1 Cd 0.000 0.000 0.000
Te1 Te 0.500 0.500 0.500
I1 I 0.000 0.500 0.000
O1 O 0.000 0.000 0.500
```

# 3
A plane-wave DFT calculation with GGA-PBE was carried out for crystalline CdTeIO2 at its relaxed geometry.

Output
VASP energy	-14.02	eV/f.u.
total moment	2.33	μB per formula unit
energy relative to the elements, uncorrected	300	meV per atom
Fermi-level density of states	2.174	states/eV/cell

```
data_CdTeIO2
_chemical_formula_sum 'Cd1 Te1 I1 O2'
_cell_length_a 4.371
_cell_length_b 4.371
_cell_length_c 6.427
_cell_angle_alpha 90.00
_cell_angle_beta 90.00
_cell_angle_gamma 90.00
_space_group_name_H-M_alt 'P 4/m m m'
_space_group_IT_number 123
_space_group_name_Hall '-P 4 2'
loop_
_atom_site_label
_atom_site_type_symbol
_atom_site_fract_x
_atom_site_fract_y
_atom_site_fract_z
Cd1 Cd 0.000 0.000 0.000
Te1 Te 0.500 0.500 0.500
I1 I 0.000 0.000 0.500
O1 O 0.000 0.500 0.000
```

# 4
A plane-wave DFT calculation with GGA-PBE was carried out for crystalline Tl3CdI2O9 at its relaxed geometry.

Output
VASP energy	-62.49	eV/f.u.
total moment	0.00	μB per formula unit
energy relative to the elements, uncorrected	-450	meV per atom
Fermi-level density of states	3.972	states/eV/cell

```
data_Tl3CdI2O9
_chemical_formula_sum 'Tl3 Cd1 I2 O9'
_cell_length_a 5.9602
_cell_length_b 5.9602
_cell_length_c 7.3866
_cell_angle_alpha 90.00
_cell_angle_beta 90.00
_cell_angle_gamma 120.00
_space_group_name_H-M_alt 'P -3 m 1'
_space_group_IT_number 164
_space_group_name_Hall '-P 3 2"'
loop_
_atom_site_label
_atom_site_type_symbol
_atom_site_fract_x
_atom_site_fract_y
_atom_site_fract_z
Tl1 Tl 0.0000 0.0000 0.0000
Tl2 Tl 0.3333 0.6667 0.6724
Cd1 Cd 0.0000 0.0000 0.5000
I1 I 0.3333 0.6667 0.1720
O1 O 0.0000 0.5000 0.0000
O2 O 0.1797 0.3595 0.3103
```

# 5
A plane-wave DFT calculation with GGA-PBE was carried out for crystalline TlCdI2O8 at its relaxed geometry.

Output
VASP energy	-49.21	eV/f.u.
total moment	0.45	μB per formula unit
energy relative to the elements, uncorrected	-264	meV per atom
Fermi-level density of states	7.854	states/eV/cell

```
data_TlCdI2O8
_chemical_formula_sum 'Tl2 Cd2 I4 O16'
_cell_length_a 7.443
_cell_length_b 7.443
_cell_length_c 7.132
_cell_angle_alpha 90.00
_cell_angle_beta 90.00
_cell_angle_gamma 90.00
_space_group_name_H-M_alt 'I -4 m 2'
_space_group_IT_number 119
_space_group_name_Hall 'I -4 -2'
loop_
_atom_site_label
_atom_site_type_symbol
_atom_site_fract_x
_atom_site_fract_y
_atom_site_fract_z
Tl1 Tl 0.000 0.000 0.000
Cd1 Cd 0.000 0.500 0.250
I1 I 0.000 0.000 0.500
I2 I 0.000 0.500 0.750
O1 O 0.000 0.192 0.328
O2 O 0.000 0.308 0.925
```

# 6
A plane-wave DFT calculation with GGA-PBE was carried out for crystalline UCdIO6 at its relaxed geometry.

Output
VASP energy	-57.03	eV/f.u.
total moment	1.00	μB per formula unit
energy relative to the elements, uncorrected	-1503	meV per atom
Fermi-level density of states	1.315	states/eV/cell

```
data_UCdIO6
_chemical_formula_sum 'U2 Cd2 I2 O12'
_cell_length_a 5.7048
_cell_length_b 5.7048
_cell_length_c 9.5503
_cell_angle_alpha 90.00
_cell_angle_beta 90.00
_cell_angle_gamma 120.00
_space_group_name_H-M_alt 'P -3 1 c'
_space_group_IT_number 163
_space_group_name_Hall '-P 3 2c'
loop_
_atom_site_label
_atom_site_type_symbol
_atom_site_fract_x
_atom_site_fract_y
_atom_site_fract_z
U1 U 0.3333 0.6667 0.2500
Cd1 Cd 0.0000 0.0000 0.0000
I1 I 0.3333 0.6667 0.7500
O1 O 0.0062 0.3568 0.6358
```